--- a ---
# SrTc2Au

A relaxed structure of SrTc2Au (GGA-PBE, Alexandria).

abc: 5.874 5.874 2.770
angles: 79.92 79.92 122.38
Element x y z (fractional)
1 Au 0.500 0.000 0.500
2 Sr 0.000 0.500 0.500
3 Tc 0.000 0.000 0.000
4 Tc 0.500 0.500 0.000

space group: C2/m, No. 12


--- b ---
# SrTc2Au

A relaxed structure of SrTc2Au (GGA-PBE, Alexandria).

abc: 3.584 3.584 6.904
angles: 90.00 90.00 90.00
Element x y z (fractional)
1 Au 0.500 0.500 0.250
2 Sr 0.500 0.500 0.750
3 Tc 0.000 0.000 0.087
4 Tc 0.000 0.000 0.413

space group: P4/mmm, No. 123


Which structure above is the least stable one? a is the least stable one.